1.
# In8SnHg5

A geometry-optimized In8SnHg5 structure (PBE, the Alexandria database).

Values from the calculation:
Raw total energy: -1.94 eV per atom
DFT formation energy: 0.023 eV/atom

```
In8SnHg5
1.0
-2.8735 8.3968 -2.7890
-6.3695 1.7403 -3.7130
-4.6848 5.0960 4.6544
In Hg Sn
8 5 1
Direct
0.3876 0.4026 0.7474 In
0.3519 0.9113 0.7647 In
0.5375 0.5974 0.2526 In
0.7366 0.2539 0.9050 In
0.8955 0.7461 0.0950 In
0.2132 0.2381 0.4126 In
0.8640 0.7619 0.5874 In
0.0280 0.0887 0.2353 In
0.9948 0.4010 0.8739 Hg
0.5051 0.0000 0.0000 Hg
0.1174 0.8692 0.6135 Hg
0.6001 0.1308 0.3865 Hg
0.2697 0.5990 0.1261 Hg
0.7486 0.5000 0.5000 Sn
```

---

2.
# InSnHg2

A geometry-optimized InSnHg2 structure (PBE, the Alexandria database).

Values from the calculation:
Raw total energy: -1.80 eV per atom
DFT formation energy: 0.040 eV/atom

```
InSnHg2
1.0
3.7464 0.0000 0.0000
0.0000 3.7464 0.0000
0.0000 0.0000 7.4536
Hg Sn In
2 1 1
Direct
0.0000 0.0000 0.2452 Hg
0.0000 0.0000 0.7548 Hg
0.5000 0.5000 0.5000 Sn
0.5000 0.5000 0.0000 In
```

---

3.
# InSn3Hg

A geometry-optimized InSn3Hg structure (PBE, the Alexandria database).

Values from the calculation:
Raw total energy: -2.92 eV per atom
DFT formation energy: 0.086 eV/atom
Polymorph energy (0 for the lowest one): 0.03 kcal/mol of atoms

```
InSn3Hg
1.0
-0.9366 2.9419 2.9780
-7.0056 1.2740 -3.4618
-3.4455 -5.9405 4.7865
In Sn Hg
2 6 2
Direct
0.2501 0.2500 0.2876 In
0.7499 0.7500 0.7124 In
0.7502 0.9542 0.2308 Sn
0.7502 0.5458 0.2308 Sn
0.2498 0.0458 0.7692 Sn
0.2503 0.7500 0.0292 Sn
0.7497 0.2500 0.9708 Sn
0.2498 0.4542 0.7692 Sn
0.7499 0.2500 0.5488 Hg
0.2501 0.7500 0.4512 Hg
```

---

4.
# InSnHg5

A geometry-optimized InSnHg5 structure (PBE, the Alexandria database).

Values from the calculation:
Raw total energy: -1.14 eV per atom
DFT formation energy: 0.039 eV/atom

```
InSnHg5
1.0
-2.3971 -1.7067 4.1187
0.8479 -4.7654 -1.4813
6.6083 -0.0174 3.8388
In Hg Sn
1 5 1
Direct
0.0000 0.0000 0.0000 In
0.0000 0.5000 0.2686 Hg
0.5000 0.5000 0.0000 Hg
0.5000 0.0000 0.7314 Hg
0.5000 0.0000 0.2686 Hg
0.0000 0.5000 0.7314 Hg
0.0000 0.0000 0.5000 Sn
```

---

5.
# InSnHg

A geometry-optimized InSnHg structure (PBE, the Alexandria database).

Values from the calculation:
Raw total energy: -2.31 eV per atom
DFT formation energy: 0.040 eV/atom
Polymorph energy (0 for the lowest one): 0.30 kcal/mol of atoms

```
InSnHg
1.0
4.0499 0.0010 0.0000
-0.0013 4.0499 0.0000
0.0000 0.0000 9.9071
In Sn Hg
2 2 2
Direct
0.9966 0.5034 0.4053 In
0.4966 0.0034 0.5947 In
0.4974 0.0026 0.9321 Sn
0.9974 0.5026 0.0679 Sn
0.4970 0.0030 0.2552 Hg
0.9970 0.5030 0.7448 Hg
```

---

6.
# In2Sn5Hg12

A geometry-optimized In2Sn5Hg12 structure (PBE, the Alexandria database).

Values from the calculation:
Raw total energy: -1.48 eV per atom
DFT formation energy: 0.054 eV/atom

```
In2Sn5Hg12
1.0
5.7054 -0.0606 1.1606
1.3147 8.8390 3.9314
0.0327 -0.8010 9.7298
Hg Sn In
12 5 2
Direct
0.8017 0.4581 0.9346 Hg
0.1983 0.0654 0.5419 Hg
0.8017 0.9346 0.4581 Hg
0.1983 0.5419 0.0654 Hg
0.9193 0.1052 0.1052 Hg
0.2705 0.4566 0.4566 Hg
0.3937 0.8471 0.3543 Hg
0.6063 0.6457 0.1529 Hg
0.7295 0.5434 0.5434 Hg
0.3937 0.3543 0.8471 Hg
0.6063 0.1529 0.6457 Hg
0.0807 0.8948 0.8948 Hg
0.6606 0.7843 0.7843 Sn
0.7620 0.3092 0.3092 Sn
0.5000 0.0000 0.0000 Sn
0.2380 0.6908 0.6908 Sn
0.3394 0.2157 0.2157 Sn
0.0000 0.7516 0.2484 In
0.0000 0.2484 0.7516 In
```

---

7.
# InSn6Hg2

A geometry-optimized InSn6Hg2 structure (PBE, the Alexandria database).

Values from the calculation:
Raw total energy: -2.99 eV per atom
DFT formation energy: 0.050 eV/atom

```
InSn6Hg2
1.0
-1.7442 -5.7450 -0.8166
-1.2331 -4.6442 -6.2013
6.1768 -4.5634 1.5205
Sn Hg In
6 2 1
Direct
0.6723 0.8897 0.7746 Sn
0.6598 0.2226 0.4518 Sn
0.0026 0.6616 0.3270 Sn
0.3277 0.1103 0.2254 Sn
0.9974 0.3384 0.6730 Sn
0.3402 0.7774 0.5482 Sn
0.6690 0.5515 0.1089 Hg
0.3310 0.4485 0.8911 Hg
0.0000 0.0000 0.0000 In
```

---

8.
# In4SnHg12

A geometry-optimized In4SnHg12 structure (PBE, the Alexandria database).

Values from the calculation:
Raw total energy: -0.98 eV per atom
DFT formation energy: 0.117 eV/atom

```
In4SnHg12
1.0
-5.0747 5.0747 5.0747
5.0747 -5.0747 5.0747
5.0747 5.0747 -5.0747
Hg In Sn
12 4 1
Direct
0.3489 0.8549 0.2038 Hg
0.7962 0.6511 0.1451 Hg
0.1451 0.7962 0.6511 Hg
0.6511 0.8549 0.5060 Hg
0.2038 0.3489 0.8549 Hg
0.8549 0.5060 0.6511 Hg
0.8549 0.2038 0.3489 Hg
0.1451 0.4940 0.3489 Hg
0.5060 0.6511 0.8549 Hg
0.3489 0.1451 0.4940 Hg
0.4940 0.3489 0.1451 Hg
0.6511 0.1451 0.7962 Hg
0.5000 0.5000 0.5000 In
0.0000 0.5000 0.0000 In
0.5000 0.0000 0.0000 In
0.0000 0.0000 0.5000 In
0.0000 0.0000 0.0000 Sn
```

---

9.
# InSn3Hg3

A geometry-optimized InSn3Hg3 structure (PBE, the Alexandria database).

Values from the calculation:
Raw total energy: -2.18 eV per atom
DFT formation energy: 0.052 eV/atom
Polymorph energy (0 for the lowest one): 0.00 kcal/mol of atoms

```
InSn3Hg3
1.0
7.4572 -1.9461 -0.2041
-0.1489 7.7055 -0.2041
-2.4695 -1.9461 7.0394
Hg Sn In
6 6 2
Direct
0.3427 0.8575 0.0532 Hg
0.9468 0.6573 0.1425 Hg
0.8575 0.0532 0.3427 Hg
0.0532 0.3427 0.8575 Hg
0.6573 0.1425 0.9468 Hg
0.1425 0.9468 0.6573 Hg
0.1781 0.5378 0.4436 Sn
0.4622 0.5564 0.8219 Sn
0.8219 0.4622 0.5564 Sn
0.5564 0.8219 0.4622 Sn
0.4436 0.1781 0.5378 Sn
0.5378 0.4436 0.1781 Sn
0.1652 0.1652 0.1652 In
0.8348 0.8348 0.8348 In
```

---

10.
# In5Sn3Hg4

A geometry-optimized In5Sn3Hg4 structure (PBE, the Alexandria database).

Values from the calculation:
Raw total energy: -2.20 eV per atom
DFT formation energy: 0.040 eV/atom

```
In5Sn3Hg4
1.0
6.2026 -0.0001 0.0001
-3.1014 6.3697 -0.5124
0.0001 -0.3157 8.4296
In Sn Hg
5 3 4
Direct
0.3300 0.6599 0.1766 In
0.6700 0.3401 0.8234 In
0.4143 0.8286 0.8379 In
0.5857 0.1714 0.1621 In
0.0000 0.0000 0.5000 In
0.2484 0.4968 0.5156 Sn
0.7516 0.5032 0.4844 Sn
0.5000 0.0000 0.5000 Sn
0.9176 0.8353 0.8272 Hg
0.0824 0.1647 0.1728 Hg
0.8355 0.6709 0.1526 Hg
0.1645 0.3291 0.8474 Hg
```

---

11.
# In4SnHg

A geometry-optimized In4SnHg structure (PBE, the Alexandria database).

Values from the calculation:
Raw total energy: -2.41 eV per atom
DFT formation energy: 0.131 eV/atom
Polymorph energy (0 for the lowest one): 2.53 kcal/mol of atoms

```
In4SnHg
1.0
6.2206 0.0000 0.0000
3.1103 5.3872 0.0000
3.1103 1.7957 5.0791
Sn In Hg
1 4 1
Direct
0.2500 0.2500 0.2500 Sn
0.6250 0.6250 0.6250 In
0.6250 0.1249 0.6250 In
0.1249 0.6250 0.6250 In
0.6250 0.6250 0.1249 In
0.0000 0.0000 0.0000 Hg
```

---

12.
# InSnHg3

A geometry-optimized InSnHg3 structure (PBE, the Alexandria database).

Values from the calculation:
Raw total energy: -1.37 eV per atom
DFT formation energy: 0.158 eV/atom
Polymorph energy (0 for the lowest one): 1.74 kcal/mol of atoms

```
InSnHg3
1.0
3.1736 0.0000 0.0000
0.0000 8.1965 -6.6131
0.0000 -1.8356 10.3705
Hg In Sn
3 1 1
Direct
0.0000 0.2232 0.7768 Hg
0.5000 0.7072 0.7563 Hg
0.5000 0.2437 0.2928 Hg
0.0000 0.3720 0.6280 In
0.5000 0.0820 0.9180 Sn
```

---

13.
# In3SnHg3

A geometry-optimized In3SnHg3 structure (PBE, the Alexandria database).

Values from the calculation:
Raw total energy: -1.48 eV per atom
DFT formation energy: 0.392 eV/atom
Polymorph energy (0 for the lowest one): 8.33 kcal/mol of atoms

```
In3SnHg3
1.0
-1.8367 5.5653 5.4557
-7.7826 -1.0146 -1.5850
-0.4103 -5.6664 5.6421
Hg In Sn
6 6 2
Direct
0.5000 0.0000 0.2500 Hg
0.7500 0.5000 0.0000 Hg
0.0000 0.2500 0.5000 Hg
0.0000 0.7500 0.5000 Hg
0.5000 0.0000 0.7500 Hg
0.2500 0.5000 0.0000 Hg
0.5000 0.7500 0.0000 In
0.2500 0.0000 0.5000 In
0.0000 0.5000 0.7500 In
0.5000 0.2500 0.0000 In
0.7500 0.0000 0.5000 In
0.0000 0.5000 0.2500 In
0.5000 0.5000 0.5000 Sn
0.0000 0.0000 0.0000 Sn
```

---

14.
# InSnHg

A geometry-optimized InSnHg structure (PBE, the Alexandria database).

Values from the calculation:
Raw total energy: -2.32 eV per atom
DFT formation energy: 0.027 eV/atom
Polymorph energy (0 for the lowest one): 0.00 kcal/mol of atoms

```
InSnHg
1.0
-3.0520 -0.0931 -2.1766
-0.6760 -3.5210 1.0984
-6.3836 3.9649 8.7814
In Hg Sn
2 2 2
Direct
0.0000 0.5000 0.2449 In
0.5000 0.0000 0.7551 In
0.0000 0.5000 0.9199 Hg
0.5000 0.0000 0.0801 Hg
0.5000 0.0000 0.4215 Sn
0.0000 0.5000 0.5785 Sn
```

---

15.
# InSnHg2

A geometry-optimized InSnHg2 structure (PBE, the Alexandria database).

Values from the calculation:
Raw total energy: -1.78 eV per atom
DFT formation energy: 0.051 eV/atom

```
InSnHg2
1.0
-1.2692 4.1705 0.6318
-0.8539 -0.9001 4.2265
9.5916 4.4601 5.1829
In Hg Sn
2 4 2
Direct
0.5000 0.5000 0.0000 In
0.2500 0.7500 0.5000 In
0.3750 0.3746 0.7500 Hg
0.1246 0.6250 0.2500 Hg
0.8750 0.8754 0.7500 Hg
0.6254 0.1250 0.2500 Hg
0.0000 0.0000 0.0000 Sn
0.7500 0.2500 0.5000 Sn
```

---

16.
# In4Sn2Hg

A geometry-optimized In4Sn2Hg structure (PBE, the Alexandria database).

Values from the calculation:
Raw total energy: -2.71 eV per atom
DFT formation energy: 0.045 eV/atom
Polymorph energy (0 for the lowest one): 0.00 kcal/mol of atoms

```
In4Sn2Hg
1.0
5.0896 0.0000 1.5901
2.2964 4.5421 1.5901
0.0245 0.0151 8.8621
Sn In Hg
2 4 1
Direct
0.2531 0.2531 0.2406 Sn
0.7469 0.7469 0.7594 Sn
0.6177 0.6177 0.1470 In
0.1272 0.1272 0.6184 In
0.8728 0.8728 0.3816 In
0.3823 0.3823 0.8530 In
0.0000 0.0000 0.0000 Hg
```

---

17.
# In11SnHg17

A geometry-optimized In11SnHg17 structure (PBE, the Alexandria database).

Values from the calculation:
Raw total energy: -1.33 eV per atom
DFT formation energy: 0.028 eV/atom

```
In11SnHg17
1.0
-6.8248 7.1862 1.7867
-6.1333 -7.3186 -3.1989
1.5181 -2.5483 7.6244
Hg Sn In
17 1 11
Direct
0.9203 0.2794 0.9169 Hg
0.3308 0.5583 0.1055 Hg
0.9837 0.9837 0.9515 Hg
0.2794 0.9203 0.9169 Hg
0.6329 0.2503 0.5847 Hg
0.4030 0.4030 0.7382 Hg
0.0523 0.2793 0.5881 Hg
0.7449 0.7449 0.7506 Hg
0.9590 0.9590 0.2975 Hg
0.5872 0.9866 0.2298 Hg
0.8304 0.4932 0.5031 Hg
0.2503 0.6329 0.5847 Hg
0.7010 0.7010 0.2564 Hg
0.2793 0.0523 0.5881 Hg
0.4932 0.8304 0.5031 Hg
0.9866 0.5872 0.2298 Hg
0.5583 0.3308 0.1055 Hg
0.5074 0.5074 0.4387 Sn
0.0665 0.5766 0.8537 In
0.3641 0.1607 0.2881 In
0.8281 0.2234 0.2409 In
0.7324 0.4982 0.9171 In
0.0198 0.8030 0.5950 In
0.5766 0.0665 0.8537 In
0.8030 0.0198 0.5950 In
0.1607 0.3641 0.2881 In
0.2272 0.2272 0.9213 In
0.2234 0.8281 0.2409 In
0.4982 0.7324 0.9171 In
```

---

18.
# In6Sn5Hg

A geometry-optimized In6Sn5Hg structure (PBE, the Alexandria database).

Values from the calculation:
Raw total energy: -3.03 eV per atom
DFT formation energy: 0.028 eV/atom

```
In6Sn5Hg
1.0
4.8256 0.0182 -1.4070
-1.2473 8.0137 -4.1743
-0.0439 -0.6034 8.8205
Sn Hg In
5 1 6
Direct
0.0000 0.5000 0.0000 Sn
0.3266 0.8266 0.6532 Sn
0.6734 0.1734 0.3468 Sn
0.3357 0.3357 0.6713 Sn
0.6643 0.6643 0.3287 Sn
0.0000 0.0000 0.0000 Hg
0.5000 0.7567 0.0000 In
0.8353 0.0807 0.6707 In
0.1647 0.4101 0.3293 In
0.8353 0.5899 0.6707 In
0.1647 0.9193 0.3293 In
0.5000 0.2433 0.0000 In
```

---

19.
# InSn2Hg4

A geometry-optimized InSn2Hg4 structure (PBE, the Alexandria database).

Values from the calculation:
Raw total energy: -1.49 eV per atom
DFT formation energy: 0.213 eV/atom
Polymorph energy (0 for the lowest one): 2.96 kcal/mol of atoms

```
InSn2Hg4
1.0
-2.5335 0.9009 5.0018
-5.0142 0.4686 -2.6242
-4.8536 -6.5924 1.9526
Hg Sn In
4 2 1
Direct
0.0000 0.5000 0.0000 Hg
0.8005 0.8005 0.3989 Hg
0.5000 0.0000 0.0000 Hg
0.1995 0.1995 0.6011 Hg
0.3974 0.3974 0.2052 Sn
0.6026 0.6026 0.7948 Sn
0.0000 0.0000 0.0000 In
```

---

20.
# In5SnHg5

A geometry-optimized In5SnHg5 structure (PBE, the Alexandria database).

Values from the calculation:
Raw total energy: -1.69 eV per atom
DFT formation energy: 0.059 eV/atom

```
In5SnHg5
1.0
5.9807 0.0000 0.0000
-2.9904 5.8605 -2.3555
0.0001 0.4131 8.6665
Hg In Sn
5 5 1
Direct
0.1961 0.3922 0.8234 Hg
0.8039 0.6078 0.1766 Hg
0.8323 0.6645 0.6646 Hg
0.5000 0.0000 0.0000 Hg
0.1677 0.3355 0.3354 Hg
0.6565 0.3130 0.8143 In
0.3435 0.6870 0.1857 In
0.0000 0.0000 0.5000 In
0.6020 0.2039 0.4053 In
0.3980 0.7961 0.5947 In
0.0000 0.0000 0.0000 Sn
```

---

21.
# In5Sn2Hg12

A geometry-optimized In5Sn2Hg12 structure (PBE, the Alexandria database).

Values from the calculation:
Raw total energy: -1.30 eV per atom
DFT formation energy: 0.033 eV/atom
Polymorph energy (0 for the lowest one): 0.00 kcal/mol of atoms

```
In5Sn2Hg12
1.0
-6.6332 -3.5275 4.3932
2.0247 -4.2744 7.3057
-0.5552 6.8156 3.3983
Hg In Sn
12 5 2
Direct
0.5486 0.5486 0.6793 Hg
0.3687 0.9582 0.7719 Hg
0.0418 0.6313 0.2281 Hg
0.1288 0.6427 0.6500 Hg
0.9582 0.3687 0.7719 Hg
0.4514 0.4514 0.3207 Hg
0.8712 0.3573 0.3500 Hg
0.6427 0.1288 0.6500 Hg
0.6313 0.0418 0.2281 Hg
0.2058 0.2058 0.1030 Hg
0.3573 0.8712 0.3500 Hg
0.7942 0.7942 0.8970 Hg
0.6172 0.6172 0.0727 In
0.3828 0.3828 0.9273 In
0.0000 0.0000 0.5000 In
0.2606 0.2606 0.5106 In
0.7394 0.7394 0.4894 In
0.8330 0.1670 0.0000 Sn
0.1670 0.8330 0.0000 Sn
```